First-principles (PBE with a Hubbard U) data for an optimized crystal structure of Ba2WO3F4, as listed in Alexandria.

Computed properties:
total magnetization	0.00	μB/cell
total DFT energy (no corrections)	-6.448	eV/atom

abc: 11.7324 9.5657 7.3188
angles: 90.00 126.04 90.00
Space group Cc (No. 9)
Unique sites:
Ba 0.0000 0.1202 0.0000 [4 per cell]
Ba 0.2911 0.1731 0.8356 [4 per cell]
W 0.1178 0.4730 0.9533 [4 per cell]
O 0.1312 0.4369 0.7067 [4 per cell]
O 0.2174 0.3183 0.1073 [4 per cell]
O 0.4425 0.0922 0.3220 [4 per cell]
F 0.0343 0.3339 0.3032 [4 per cell]
F 0.1781 0.0370 0.4477 [4 per cell]
F 0.3064 0.4118 0.5992 [4 per cell]
F 0.4944 0.3521 0.1192 [4 per cell]